Compound: AcNdAlAu
Source: the Alexandria database
Functional: PBE
Structure: optimized geometry

It has space group F-43m (No. 216), with a = 7.7157 Å, b = 7.7157 Å, c = 7.7157 Å, α = 90.00°, β = 90.00° and γ = 90.00°. The distinct sites, in fractional coordinates, are Ac at (0.0000, 0.0000, 0.0000), Nd at (0.0000, 0.0000, 0.5000), Al at (0.2500, 0.2500, 0.7500) and Au at (0.2500, 0.2500, 0.2500).

The calculated total energy comes out at -70.61 eV/cell. The value obtained for the density of states at the Fermi level is 1.093 states/eV per atom. The formation energy is -0.4391 eV per atom. The density is 8.61 g cm⁻³.